[1]
## LiCrRu2 (PBE-GGA)

Data for an optimized crystal structure of LiCrRu2.

Summary:
DOS(E_F), states/eV/atom: 0.97
Energy above the lowest structure with this stoichiometry, meV/atom: 153
ΔH_f (0 K), eV/atom: 0.230
ρ, g cm⁻³: 8.4

Geometry as CIF:
```
data_LiCrRu2
_chemical_formula_sum 'Li2 Cr2 Ru4'
_symmetry_space_group_name_H-M 'C 1 2/m 1'
_symmetry_Int_Tables_number 12
_symmetry_space_group_name_Hall '-C 2y'
_cell_length_a 8.086
_cell_length_b 2.637
_cell_length_c 4.868
_cell_angle_alpha 90.00
_cell_angle_beta 95.61
_cell_angle_gamma 90.00
loop_
_atom_site_label
_atom_site_type_symbol
_atom_site_fract_x
_atom_site_fract_y
_atom_site_fract_z
Li1 Li 0.000 0.000 0.000
Cr1 Cr 0.000 0.500 0.500
Ru1 Ru 0.245 0.000 0.754
```

[2]
## Pm2Sm2Ge (PBE-GGA)

Data for an optimized crystal structure of Pm2Sm2Ge.

Summary:
DOS(E_F), states/eV/atom: 1.04
ΔH_f (0 K), eV/atom: 0.246
ρ, g cm⁻³: 6.8

Geometry as CIF:
```
data_Pm2Sm2Ge
_chemical_formula_sum 'Pm4 Sm4 Ge2'
_symmetry_space_group_name_H-M 'I 4/m m m'
_symmetry_Int_Tables_number 139
_symmetry_space_group_name_Hall '-I 4 2'
_cell_length_a 4.239
_cell_length_b 4.239
_cell_length_c 18.075
_cell_angle_alpha 90.00
_cell_angle_beta 90.00
_cell_angle_gamma 90.00
loop_
_atom_site_label
_atom_site_type_symbol
_atom_site_fract_x
_atom_site_fract_y
_atom_site_fract_z
Pm1 Pm 0.000 0.000 0.081
Sm1 Sm 0.000 0.500 0.250
Ge1 Ge 0.000 0.000 0.500
```

[3]
## SrCu2P3 (PBE-GGA)

Data for an optimized crystal structure of SrCu2P3.

Summary:
DOS(E_F), states/eV/atom: 0.58
ΔH_f (0 K), eV/atom: -0.241
ρ, g cm⁻³: 4.3

Geometry as CIF:
```
data_SrCu2P3
_chemical_formula_sum 'Sr2 Cu4 P6'
_symmetry_space_group_name_H-M 'P m m n'
_symmetry_Int_Tables_number 59
_cell_length_a 4.302
_cell_length_b 13.050
_cell_length_c 4.193
_cell_angle_alpha 90.00
_cell_angle_beta 90.00
_cell_angle_gamma 90.00
loop_
_symmetry_equiv_pos_as_xyz
'x,y,z'
'-x,-y,-z'
'-x+1/2,-y+1/2,z'
'x+1/2,y+1/2,-z'
'x+1/2,-y,-z'
'-x+1/2,y,z'
'-x,y+1/2,-z'
'x,-y+1/2,z'
loop_
_atom_site_label
_atom_site_type_symbol
_atom_site_fract_x
_atom_site_fract_y
_atom_site_fract_z
Sr1 Sr 0.250 0.250 0.068
Cu1 Cu 0.250 0.578 0.370
P1 P 0.250 0.001 0.867
P2 P 0.250 0.750 0.431
```

[4]
## RbTl3 (PBE-GGA)

Data for an optimized crystal structure of RbTl3.

Summary:
DOS(E_F), states/eV/atom: 0.74
ΔH_f (0 K), eV/atom: 0.042
ρ, g cm⁻³: 8.1

Geometry as CIF:
```
data_RbTl3
_chemical_formula_sum 'Rb1 Tl3'
_symmetry_space_group_name_H-M 'P m -3 m'
_symmetry_Int_Tables_number 221
_symmetry_space_group_name_Hall '-P 4 2 3'
_cell_length_a 5.224
_cell_length_b 5.224
_cell_length_c 5.224
_cell_angle_alpha 90.00
_cell_angle_beta 90.00
_cell_angle_gamma 90.00
loop_
_atom_site_label
_atom_site_type_symbol
_atom_site_fract_x
_atom_site_fract_y
_atom_site_fract_z
Rb1 Rb 0.000 0.000 0.000
Tl1 Tl 0.000 0.500 0.500
```

[5]
## ZnGeSe2Br (PBE-GGA)

Data for an optimized crystal structure of ZnGeSe2Br.

Summary:
DOS(E_F), states/eV/atom: 0.52
Formation energy (no corrections), meV/atom: 200
Energy above the lowest structure with this stoichiometry, meV/atom: 0
ρ, g cm⁻³: 5.0

Geometry as CIF:
```
data_ZnGeSe2Br
_chemical_formula_sum 'Zn1 Ge1 Se2 Br1'
_symmetry_space_group_name_H-M 'P 4/m m m'
_symmetry_Int_Tables_number 123
_symmetry_space_group_name_Hall '-P 4 2'
_cell_length_a 4.919
_cell_length_b 4.919
_cell_length_c 5.136
_cell_angle_alpha 90.00
_cell_angle_beta 90.00
_cell_angle_gamma 90.00
loop_
_atom_site_label
_atom_site_type_symbol
_atom_site_fract_x
_atom_site_fract_y
_atom_site_fract_z
Zn1 Zn 0.000 0.000 0.000
Ge1 Ge 0.500 0.500 0.500
Se1 Se 0.000 0.500 0.000
Br1 Br 0.000 0.000 0.500
```

[6]
## Ac3Ni2Ge7 (PBE-GGA)

Data for an optimized crystal structure of Ac3Ni2Ge7.

Summary:
DOS(E_F), states/eV/atom: 0.47
ΔH_f (0 K), eV/atom: -0.573
ρ, g cm⁻³: 8.3

Geometry as CIF:
```
data_Ac3Ni2Ge7
_chemical_formula_sum 'Ac3 Ni2 Ge7'
_symmetry_space_group_name_H-M 'P 1 2/m 1'
_symmetry_Int_Tables_number 10
_symmetry_space_group_name_Hall '-P 2y'
_cell_length_a 4.413
_cell_length_b 4.484
_cell_length_c 13.467
_cell_angle_alpha 90.00
_cell_angle_beta 99.40
_cell_angle_gamma 90.00
loop_
_atom_site_label
_atom_site_type_symbol
_atom_site_fract_x
_atom_site_fract_y
_atom_site_fract_z
Ac1 Ac 0.000 0.000 0.000
Ac2 Ac 0.317 0.500 0.633
Ni1 Ni 0.127 0.000 0.256
Ge1 Ge 0.090 0.500 0.178
Ge2 Ge 0.221 0.000 0.442
Ge3 Ge 0.411 0.000 0.821
Ge4 Ge 0.500 0.500 0.000
```

Question: Which value of ρ does entry 6 give?
Answer: 8.3 g cm⁻³

Question: Which value of DOS(E_F) does entry 6 give?
Answer: 0.47 states/eV/atom

Question: What is the DOS(E_F) in the second record?
Answer: 1.04 states/eV/atom